(1)
DFT (GGA-PBE) results for an optimized crystal structure of InSn2TeW.

Values from the calculation:
* E above lowest polymorph: 141 meV/atom

Cell: 5.3945 5.3945 5.5379 Å, 90.00 90.00 90.00°
Closest atoms and distances in Å follow each position.
Space group P4/mmm (No. 123)
Unique sites:
In: 0.0000 0.0000 0.0000 x1  4 Sn 2.70, 2 Te 2.77
Sn: 0.0000 0.5000 0.0000 x2  2 In 2.70
Te: 0.0000 0.0000 0.5000 x1  2 In 2.77
W: 0.5000 0.5000 0.5000 x1  4 Te 3.81, 8 Sn 3.87

=====

(2)
DFT (GGA-PBE) results for an optimized crystal structure of Y2In3SnTe6.

Values from the calculation:
* VASP energy: -4.404 eV/atom

Cell: 20.2000 4.4270 9.3261 Å, 90.00 105.95 90.00°
Closest atoms and distances in Å follow each position.
Space group C2/m (No. 12)
Unique sites:
Y: 0.1682 0.0000 0.3358 x4  6 Te 3.09-3.12
In: 0.0000 0.5000 0.5000 x2  6 Te 3.23-3.33
In: 0.1662 0.0000 0.8368 x4  6 Te 3.31-3.40
Sn: 0.0000 0.5000 0.0000 x2  6 Te 3.20
Te: 0.0087 0.0000 0.2529 x4  1 Y 3.10, 2 Sn 3.20, 3 In 3.23-3.40
Te: 0.1646 0.5000 0.1030 x4  2 Y 3.09, 1 Sn 3.20, 3 In 3.31-3.33
Te: 0.1710 0.5000 0.5705 x4  3 Y 3.10-3.12, 3 In 3.33-3.35

=====

- Number 1 is which compound?
  InSn2TeW